First-principles (PBE) data for Pm4HgGeSe2 after structural relaxation, as listed in Alexandria.

Values from the calculation:
E_form (uncorrected)	-1.243	eV/atom
mass density	7.59	g/cm³

Cell: 7.208 4.239 7.639 Å, 90.00 108.58 90.00°
Space group P2/m (No. 10)
One atom of each set of equivalent atoms:
1 Pm 0.237 0.000 0.236 (multiplicity 2)
2 Pm 0.238 0.500 0.750 (multiplicity 2)
3 Hg 0.500 0.500 0.500 (multiplicity 1)
4 Ge 0.000 0.000 0.500 (multiplicity 1)
5 Se 0.000 0.500 0.000 (multiplicity 1)
6 Se 0.500 0.000 0.000 (multiplicity 1)

---

First-principles (PBE) data for TbCdInGa after structural relaxation, as listed in Alexandria.

Values from the calculation:
relative energy among the computed polymorphs	0.0000	eV/atom
E_form	-0.41	eV per atom
mass density	8.32	g/cm³

Cell: 4.431 4.432 4.635 Å, 90.00 90.00 90.00°
Space group Pmmm (No. 47)
One atom of each set of equivalent atoms:
1 Tb 0.000 0.000 0.000 (multiplicity 1)
2 Cd 0.500 0.000 0.500 (multiplicity 1)
3 In 0.000 0.500 0.500 (multiplicity 1)
4 Ga 0.500 0.500 0.000 (multiplicity 1)

---

First-principles (PBE) data for KIO2 after structural relaxation, as listed in Alexandria.

Values from the calculation:
relative energy among the computed polymorphs	0.2611	eV/atom
E_form (uncorrected)	-0.457	eV/atom
mass density	3.65	g/cm³

Cell: 5.261 5.261 13.002 Å, 90.00 90.00 90.00°
Space group I-42d (No. 122)
One atom of each set of equivalent atoms:
1 K 0.000 0.000 0.000 (multiplicity 4)
2 I 0.000 0.000 0.500 (multiplicity 4)
3 O 0.144 0.250 0.625 (multiplicity 8)

---

First-principles (PBE) data for Zn3NiB after structural relaxation, as listed in Alexandria.

Values from the calculation:
relative energy among the computed polymorphs	0.0000	eV/atom
E_form	0.42	eV per atom
mass density	6.56	g/cm³

Cell: 4.068 4.068 4.068 Å, 90.00 90.00 90.00°
Space group Pm-3m (No. 221)
One atom of each set of equivalent atoms:
1 Zn 0.000 0.000 0.500 (multiplicity 3)
2 Ni 0.500 0.500 0.500 (multiplicity 1)
3 B 0.000 0.000 0.000 (multiplicity 1)

---

First-principles (PBE) data for Cr2CuH2 after structural relaxation, as listed in Alexandria.

Values from the calculation:
relative energy among the computed polymorphs	0.0000	eV/atom
mass density	6.92	g/cm³

Cell: 3.190 3.190 7.999 Å, 90.00 90.00 90.00°
Space group I4/mmm (No. 139)
One atom of each set of equivalent atoms:
1 Cr 0.000 0.000 0.157 (multiplicity 4)
2 Cu 0.000 0.000 0.500 (multiplicity 2)
3 H 0.000 0.500 0.250 (multiplicity 4)

---

First-principles (PBE) data for KLa4Zn after structural relaxation, as listed in Alexandria.

Values from the calculation:
E_form	0.47	eV per atom
mass density	4.94	g/cm³

Cell: 9.608 9.608 9.608 Å, 90.00 90.00 90.00°
Space group F-43m (No. 216)
One atom of each set of equivalent atoms:
1 K 0.000 0.000 0.000 (multiplicity 4)
2 La 0.119 0.119 0.619 (multiplicity 16)
3 Zn 0.250 0.250 0.250 (multiplicity 4)

---

First-principles (PBE) data for LiLaScGa2 after structural relaxation, as listed in Alexandria.

Values from the calculation:
E_form	0.09	eV per atom
mass density	4.88	g/cm³

Cell: 4.713 4.713 5.064 Å, 90.00 90.00 90.00°
Space group P4/mmm (No. 123)
One atom of each set of equivalent atoms:
1 Li 0.000 0.000 0.000 (multiplicity 1)
2 La 0.000 0.000 0.500 (multiplicity 1)
3 Sc 0.500 0.500 0.500 (multiplicity 1)
4 Ga 0.000 0.500 0.000 (multiplicity 2)

---

First-principles (PBE) data for Tb3DyPu3Se8 after structural relaxation, as listed in Alexandria.

Values from the calculation:
E_form (uncorrected)	-1.752	eV/atom
mass density	8.44	g/cm³

Cell: 14.232 8.215 8.241 Å, 90.00 125.15 90.00°
Space group C2/m (No. 12)
One atom of each set of equivalent atoms:
1 Tb 0.000 0.000 0.000 (multiplicity 2)
2 Tb 0.250 0.250 0.000 (multiplicity 4)
3 Dy 0.000 0.500 0.000 (multiplicity 2)
4 Pu 0.000 0.500 0.500 (multiplicity 2)
5 Pu 0.250 0.250 0.500 (multiplicity 4)
6 Se 0.002 0.249 0.754 (multiplicity 8)
7 Se 0.250 0.000 0.248 (multiplicity 4)
8 Se 0.250 0.000 0.753 (multiplicity 4)

---

First-principles (PBE) data for LaScRu2 after structural relaxation, as listed in Alexandria.

Values from the calculation:
E_form	-0.02	eV per atom
mass density	8.24	g/cm³

Cell: 3.932 3.932 10.058 Å, 90.00 90.00 90.00°
Space group I-4m2 (No. 119)
One atom of each set of equivalent atoms:
1 La 0.000 0.000 0.000 (multiplicity 2)
2 Sc 0.000 0.500 0.250 (multiplicity 2)
3 Ru 0.000 0.000 0.500 (multiplicity 2)
4 Ru 0.000 0.500 0.750 (multiplicity 2)

---

First-principles (PBE) data for Ca3Ni2As4Rh2 after structural relaxation, as listed in Alexandria.

Values from the calculation:
E_form	-0.78	eV per atom
mass density	5.66	g/cm³

Cell: 4.0595 4.0595 15.2756 Å, 90.00 90.00 120.00°
Space group P-3m1 (No. 164)
One atom of each set of equivalent atoms:
1 Ca 0.0000 0.0000 0.0000 (multiplicity 1)
2 Ca 0.0000 0.0000 0.2697 (multiplicity 2)
3 Ni 0.3333 0.6667 0.1390 (multiplicity 2)
4 As 0.3333 0.6667 0.3986 (multiplicity 2)
5 As 0.3333 0.6667 0.8641 (multiplicity 2)
6 Rh 0.3333 0.6667 0.5597 (multiplicity 2)

---

First-principles (PBE) data for TbYSi3 after structural relaxation, as listed in Alexandria.

Values from the calculation:
E_form (uncorrected)	-0.676	eV/atom
mass density	5.47	g/cm³

Cell: 4.149 24.578 3.956 Å, 90.00 90.00 90.00°
Space group Cmcm (No. 63)
One atom of each set of equivalent atoms:
1 Tb 0.000 0.203 0.250 (multiplicity 4)
2 Y 0.000 0.069 0.750 (multiplicity 4)
3 Si 0.000 0.323 0.250 (multiplicity 4)
4 Si 0.000 0.381 0.750 (multiplicity 4)
5 Si 0.000 0.475 0.750 (multiplicity 4)

---

First-principles (PBE) data for Ac4Pr3ErS8 after structural relaxation, as listed in Alexandria.

Values from the calculation:
E_form (uncorrected)	-1.991	eV/atom
mass density	7.07	g/cm³

Cell: 8.3347 8.3347 20.5596 Å, 90.00 90.00 120.00°
Space group R-3m (No. 166, hexagonal axes)
One atom of each set of equivalent atoms:
1 Ac 0.0000 0.0000 0.0000 (multiplicity 3)
2 Ac 0.0000 0.5000 0.0000 (multiplicity 9)
3 Pr 0.0000 0.5000 0.5000 (multiplicity 9)
4 Er 0.0000 0.0000 0.5000 (multiplicity 3)
5 S 0.0000 0.0000 0.2460 (multiplicity 6)
6 S 0.0120 0.5060 0.2432 (multiplicity 18)

---

| no. | DOS(E_F) (states/eV/cell) | final energy (eV for the cell shown) | spin magnetization (μB per formula unit) |
| --- | --- | --- | --- |
| 1 | 4.13 | -40.83 | 0.00 |
| 2 | 1.55 | -12.93 | 0.00 |
| 3 | 0.00 | -57.56 | 0.00 |
| 4 | 1.40 | -14.16 | 0.00 |
| 5 | 4.25 | -58.26 | 0.90 |
| 6 | 31.34 | -77.07 | 0.00 |
| 7 | 3.84 | -18.78 | 1.16 |
| 8 | 60.20 | -231.30 | 17.28 |
| 9 | 7.12 | -59.76 | 0.00 |
| 10 | 10.77 | -59.45 | 0.00 |
| 11 | 6.95 | -122.97 | 0.00 |
| 12 | 21.22 | -300.65 | 0.00 |